DyHoI6 | PBE | optimized geometry

Cell lengths 7.639, 7.639, 7.604 Å; angles 99.42, 99.42, 120.15 degrees
Sites, in units of the cell vectors:
Dy 0.166 0.834 0.000
I 0.774 0.774 0.753
I 0.578 0.928 0.242
I 0.422 0.072 0.758
I 0.928 0.578 0.242
I 0.226 0.226 0.247
I 0.072 0.422 0.758
Ho 0.834 0.166 0.000

- final energy (eV per atom) = -3.708
- theoretical density (g/cm³) = 5.0